1.
! Nd3In5H12 | the Alexandria database | GGA-PBE | relaxed; values from VASP
&SYSTEM
  ibrav = 0, nat = 80, ntyp = 3
/
ATOMIC_SPECIES
Nd 144.24 Nd.upf
In 114.82 In.upf
H 1.01 H.upf
ATOMIC_POSITIONS angstrom
Nd 3.2990 1.6495 0.0000
Nd 6.5980 3.2990 -1.6495
Nd 1.6495 0.0000 3.2990
Nd 8.2475 0.0000 3.2990
Nd 0.0000 3.2990 1.6495
Nd 3.2990 -1.6495 6.5980
Nd 3.2990 8.2475 0.0000
Nd 6.5980 3.2990 4.9485
Nd -1.6495 6.5980 3.2990
Nd 4.9485 6.5980 3.2990
Nd 0.0000 3.2990 8.2475
Nd 3.2990 4.9485 6.5980
In 0.0000 0.0000 0.0000
In 3.2990 3.2990 -3.2990
In 3.2990 -3.2990 3.2990
In 6.5980 0.0000 0.0000
In 9.8970 1.6495 0.0000
In 6.5980 -3.2990 4.9485
In 4.9485 6.5980 -3.2990
In 4.9485 0.0000 3.2990
In 3.2990 4.9485 0.0000
In 6.5980 3.2990 1.6495
In -3.2990 3.2990 3.2990
In 0.0000 6.5980 0.0000
In 0.0000 0.0000 6.5980
In 3.2990 3.2990 3.2990
In 0.0000 3.2990 4.9485
In 3.2990 1.6495 6.5980
In 1.6495 6.5980 3.2990
In 1.6495 0.0000 9.8970
In 0.0000 9.8970 1.6495
In -3.2990 4.9485 6.5980
H 2.0987 -0.0788 1.0411
H 7.7983 4.3401 -3.3778
H 6.5192 -1.0411 2.0987
H 9.9758 -1.2003 2.2579
H 8.6967 0.0788 1.0411
H 7.7983 -2.2579 3.3778
H 1.0411 2.0987 -0.0788
H 8.8559 3.2202 -1.2003
H 4.3401 3.3778 -1.2003
H 5.5569 2.0987 0.0788
H -0.0788 1.0411 2.0987
H 3.3778 -1.2003 4.3401
H 6.5192 5.5569 -2.0987
H 3.3778 1.2003 2.2579
H 5.5569 -2.0987 6.5192
H 4.3401 -3.3778 7.7983
H 2.2579 3.3778 1.2003
H 7.6391 4.4993 0.0788
H 2.0987 6.5192 -1.0411
H 7.7983 2.2579 3.2202
H 3.3778 7.7983 -2.2579
H 6.5192 1.0411 4.4993
H 1.2003 2.2579 3.3778
H 2.0987 0.0788 5.5569
H 4.4993 6.5192 1.0411
H 5.3977 4.3401 3.2202
H 0.0788 5.5569 2.0987
H 3.2202 -1.2003 8.8559
H -1.2003 4.3401 3.3778
H 4.4993 0.0788 7.6391
H -1.0411 2.0987 6.5192
H 4.3401 3.2202 5.3977
H 2.2579 9.9758 -1.2003
H 1.0411 8.6967 0.0788
H 3.2202 5.3977 4.3401
H 0.0788 1.0411 8.6967
H 3.2202 7.7983 2.2579
H 6.6768 5.5569 4.4993
H 1.0411 4.4993 6.5192
H 2.2579 3.2202 7.7983
H -2.2579 3.3778 7.7983
H 5.5569 4.4993 6.6768
H -1.2003 8.8559 3.2202
H -2.0987 6.5192 5.5569
H -3.3778 7.7983 4.3401
H 0.0788 7.6391 4.4993
H -1.2003 2.2579 9.9758
H 4.4993 6.6768 5.5569
CELL_PARAMETERS angstrom
-6.5980 6.5980 6.5980
6.5980 -6.5980 6.5980
6.5980 6.5980 -6.5980
! * energy: -3.367 eV/atom
! * total moment: 0.00 μB/atom
! * SG: Ia-3d, No. 230

2.
! Nd2InH | the Alexandria database | GGA-PBE | relaxed; values from VASP
&SYSTEM
  ibrav = 0, nat = 4, ntyp = 3
/
ATOMIC_SPECIES
Nd 144.24 Nd.upf
In 114.82 In.upf
H 1.01 H.upf
ATOMIC_POSITIONS angstrom
Nd 0.0000 0.0000 1.6819
Nd 0.0000 0.0000 6.0895
In 1.7252 1.7252 3.8857
H 1.7252 1.7252 0.0000
CELL_PARAMETERS angstrom
3.4504 0.0000 0.0000
0.0000 3.4504 0.0000
0.0000 0.0000 7.7714
! * total moment: 0.00 μB/atom
! * SG: P4/mmm, No. 123
! * energy relative to the lowest polymorph listed for this composition: 239 meV/atom

3.
! Nd6In3H | the Alexandria database | GGA-PBE | relaxed; values from VASP
&SYSTEM
  ibrav = 0, nat = 20, ntyp = 3
/
ATOMIC_SPECIES
Nd 144.24 Nd.upf
In 114.82 In.upf
H 1.01 H.upf
ATOMIC_POSITIONS angstrom
Nd -0.7053 0.4280 2.3309
Nd -3.4505 3.9227 7.5322
Nd 0.6658 6.1422 0.5698
Nd -2.0794 6.9101 5.7711
Nd 2.4066 1.2770 0.4970
Nd -0.3386 3.0737 5.6983
Nd 1.2965 5.6278 4.7044
Nd -1.4486 7.4245 9.9057
Nd 3.0374 1.7914 4.6316
Nd 0.2922 2.5593 9.8329
Nd 4.4085 4.7788 2.8705
Nd 1.6633 8.2735 8.0718
In -1.8546 1.0016 7.6555
In 0.8906 3.3491 2.4541
In 0.4790 0.0000 5.2014
In 3.2241 4.3508 0.0000
In 0.0674 5.3524 7.9486
In 2.8126 7.6999 2.7473
H 0.0000 0.0000 0.0000
H -2.7452 4.3508 5.2014
CELL_PARAMETERS angstrom
6.4483 0.0000 0.0000
0.0000 8.7015 0.0000
-5.4903 0.0000 10.4027
! * energy: -4.289 eV/atom
! * total moment: 0.00 μB/atom
! * SG: P2_1/c, No. 14

4.
! Nd2InH | the Alexandria database | GGA-PBE | relaxed; values from VASP
&SYSTEM
  ibrav = 0, nat = 4, ntyp = 3
/
ATOMIC_SPECIES
Nd 144.24 Nd.upf
In 114.82 In.upf
H 1.01 H.upf
ATOMIC_POSITIONS angstrom
Nd 0.0000 0.0000 5.4466
Nd 0.0000 0.0000 18.5500
In 0.0000 0.0000 0.0000
H 0.0000 0.0000 11.9983
CELL_PARAMETERS angstrom
1.8658 1.0772 7.9988
-1.8658 1.0772 7.9988
0.0000 -2.1545 7.9988
! * total moment: 0.00 μB/atom
! * SG: R-3m, No. 166
! * energy relative to the lowest polymorph listed for this composition: 66 meV/atom

5.
! Nd5In2H | the Alexandria database | GGA-PBE | relaxed; values from VASP
&SYSTEM
  ibrav = 0, nat = 8, ntyp = 3
/
ATOMIC_SPECIES
Nd 144.24 Nd.upf
In 114.82 In.upf
H 1.01 H.upf
ATOMIC_POSITIONS angstrom
Nd 0.0000 0.0000 0.0000
Nd 1.7870 1.7870 -2.2693
Nd 1.7830 -1.7830 2.3554
Nd -1.7830 1.7830 2.3554
Nd 1.7830 1.7830 2.3554
In 3.5700 0.0000 0.0295
In 0.0000 3.5700 0.0295
H 0.0000 0.0000 6.9008
CELL_PARAMETERS angstrom
-3.5700 3.5700 4.6247
3.5700 -3.5700 4.6247
3.5700 3.5700 -4.6247
! * energy: -4.285 eV/atom
! * total moment: 0.00 μB/atom
! * SG: I4mm, No. 107

6.
! Nd2InH | the Alexandria database | GGA-PBE | relaxed; values from VASP
&SYSTEM
  ibrav = 0, nat = 12, ntyp = 3
/
ATOMIC_SPECIES
Nd 144.24 Nd.upf
In 114.82 In.upf
H 1.01 H.upf
ATOMIC_POSITIONS angstrom
Nd -0.0086 1.8121 3.0713
Nd -1.4249 4.2950 0.0064
Nd 1.5737 0.8986 6.1233
Nd 1.4335 4.2801 6.1361
Nd 2.9899 3.3815 3.0585
Nd 4.4320 0.9135 9.1882
In -1.4987 2.5959 6.1297
In 2.9974 0.0000 3.0649
In 1.4998 2.5978 0.0000
H -1.4993 2.5969 1.5324
H 2.9986 0.0000 7.6621
H 1.4992 2.5967 4.5973
CELL_PARAMETERS angstrom
5.9971 0.0000 0.0000
-2.9985 5.1936 0.0000
0.0000 0.0000 9.1946
! * total moment: 0.09 μB/atom
! * SG: P3_121, No. 152
! * energy relative to the lowest polymorph listed for this composition: 0 meV/atom

7.
! NdInH | the Alexandria database | GGA-PBE | relaxed; values from VASP
&SYSTEM
  ibrav = 0, nat = 3, ntyp = 3
/
ATOMIC_SPECIES
Nd 144.24 Nd.upf
In 114.82 In.upf
H 1.01 H.upf
ATOMIC_POSITIONS angstrom
Nd 0.0000 0.0000 0.0000
In 0.0000 0.0000 3.2992
H 0.0000 0.0000 6.3738
CELL_PARAMETERS angstrom
-1.6489 1.6489 5.9505
1.6489 -1.6489 5.9505
1.6489 1.6489 -5.9505
! * total moment: 0.00 μB/atom
! * SG: I4mm, No. 107
! * energy relative to the lowest polymorph listed for this composition: 162 meV/atom

8.
! Nd12In3H5 | the Alexandria database | GGA-PBE | relaxed; values from VASP
&SYSTEM
  ibrav = 0, nat = 80, ntyp = 3
/
ATOMIC_SPECIES
Nd 144.24 Nd.upf
In 114.82 In.upf
H 1.01 H.upf
ATOMIC_POSITIONS angstrom
Nd 2.4332 -0.6668 0.8965
Nd 9.7186 4.9471 -4.7174
Nd 7.4344 -0.8965 2.4332
Nd 12.8187 -1.6174 3.1541
Nd 10.5344 0.6668 0.8965
Nd 9.7186 -3.1541 4.7174
Nd 0.8965 2.4332 -0.6668
Nd 11.2553 3.3838 -1.6174
Nd 4.9471 4.7174 -1.6174
Nd 7.2047 2.4332 0.6668
Nd -0.6668 0.8965 2.4332
Nd 4.7174 -1.6174 4.9471
Nd 7.4344 7.2047 -2.4332
Nd 4.7174 1.6174 3.1541
Nd 7.2047 -2.4332 7.4344
Nd 4.9471 -4.7174 9.7186
Nd 3.1541 4.7174 1.6174
Nd 8.9977 5.6680 0.6668
Nd 2.4332 7.4344 -0.8965
Nd 9.7186 3.1541 3.3838
Nd 4.7174 9.7186 -3.1541
Nd 7.4344 0.8965 5.6680
Nd 1.6174 3.1541 4.7174
Nd 2.4332 0.6668 7.2047
Nd 5.6680 7.4344 0.8965
Nd 6.4838 4.9471 3.3838
Nd 0.6668 7.2047 2.4332
Nd 3.3838 -1.6174 11.2553
Nd -1.6174 4.9471 4.7174
Nd 5.6680 0.6668 8.9977
Nd -0.8965 2.4332 7.4344
Nd 4.9471 3.3838 6.4838
Nd 3.1541 12.8187 -1.6174
Nd 0.8965 10.5344 0.6668
Nd 3.3838 6.4838 4.9471
Nd 0.6668 0.8965 10.5344
Nd 3.3838 9.7186 3.1541
Nd 8.7680 7.2047 5.6680
Nd 0.8965 5.6680 7.4344
Nd 3.1541 3.3838 9.7186
Nd -3.1541 4.7174 9.7186
Nd 7.2047 5.6680 8.7680
Nd -1.6174 11.2553 3.3838
Nd -2.4332 7.4344 7.2047
Nd -4.7174 9.7186 4.9471
Nd 0.6668 8.9977 5.6680
Nd -1.6174 3.1541 12.8187
Nd 5.6680 8.7680 7.2047
In 4.0506 2.0253 0.0000
In 8.1012 4.0506 -2.0253
In 2.0253 0.0000 4.0506
In 10.1265 0.0000 4.0506
In 0.0000 4.0506 2.0253
In 4.0506 -2.0253 8.1012
In 4.0506 10.1265 0.0000
In 8.1012 4.0506 6.0759
In -2.0253 8.1012 4.0506
In 6.0759 8.1012 4.0506
In 0.0000 4.0506 10.1265
In 4.0506 6.0759 8.1012
H 0.0000 0.0000 0.0000
H 4.0506 4.0506 -4.0506
H 4.0506 -4.0506 4.0506
H 8.1012 0.0000 0.0000
H 12.1518 2.0253 0.0000
H 8.1012 -4.0506 6.0759
H 6.0759 8.1012 -4.0506
H 6.0759 0.0000 4.0506
H 4.0506 6.0759 0.0000
H 8.1012 4.0506 2.0253
H -4.0506 4.0506 4.0506
H 0.0000 8.1012 0.0000
H 0.0000 0.0000 8.1012
H 4.0506 4.0506 4.0506
H 0.0000 4.0506 6.0759
H 4.0506 2.0253 8.1012
H 2.0253 8.1012 4.0506
H 2.0253 0.0000 12.1518
H 0.0000 12.1518 2.0253
H -4.0506 6.0759 8.1012
CELL_PARAMETERS angstrom
-8.1012 8.1012 8.1012
8.1012 -8.1012 8.1012
8.1012 8.1012 -8.1012
! * energy: -4.345 eV/atom
! * total moment: 0.00 μB/atom
! * SG: Ia-3d, No. 230

9.
! Nd2InH2 | the Alexandria database | GGA-PBE | relaxed; values from VASP
&SYSTEM
  ibrav = 0, nat = 5, ntyp = 3
/
ATOMIC_SPECIES
Nd 144.24 Nd.upf
In 114.82 In.upf
H 1.01 H.upf
ATOMIC_POSITIONS angstrom
Nd 0.0000 0.0000 1.8507
Nd 0.0000 0.0000 10.4298
In 0.0000 0.0000 6.1403
H 2.0009 0.0000 3.0701
H 0.0000 2.0009 3.0701
CELL_PARAMETERS angstrom
-2.0009 2.0009 6.1403
2.0009 -2.0009 6.1403
2.0009 2.0009 -6.1403
! * energy: -4.398 eV/atom
! * total moment: 0.00 μB/atom
! * SG: I4/mmm, No. 139

10.
! Nd6In2HO | the Alexandria database | GGA-PBE | relaxed; values from VASP
&SYSTEM
  ibrav = 0, nat = 20, ntyp = 4
/
ATOMIC_SPECIES
Nd 144.24 Nd.upf
In 114.82 In.upf
H 1.01 H.upf
O 16.00 O.upf
ATOMIC_POSITIONS angstrom
Nd 0.0280 2.5018 0.0270
Nd 0.0282 2.5018 3.5160
Nd 1.7732 0.0251 1.7733
Nd 1.7732 4.9784 1.7733
Nd 3.5184 2.5018 0.0270
Nd 3.5183 2.5018 3.5160
Nd 3.5746 7.5053 3.5763
Nd 3.5744 7.5053 7.0653
Nd 5.3196 5.0287 5.3191
Nd 5.3196 9.9820 5.3191
Nd 7.0647 7.5053 3.5763
Nd 7.0648 7.5053 7.0653
In 1.7732 0.0006 5.3199
In 1.7732 5.0030 5.3199
In 5.3196 10.0065 1.7725
In 5.3196 5.0041 1.7725
H 1.7732 7.5053 1.7757
H 5.3196 2.5018 5.3167
O 1.7732 2.5018 1.7709
O 5.3196 7.5053 5.3215
CELL_PARAMETERS angstrom
7.0928 0.0000 0.0000
0.0000 10.0071 0.0000
0.0000 0.0000 7.0924
! * energy: -5.100 eV/atom
! * total moment: 0.00 μB/atom
! * SG: Pmmn, No. 59

11.
! PmNd2InH | the Alexandria database | GGA-PBE | relaxed; values from VASP
&SYSTEM
  ibrav = 0, nat = 5, ntyp = 4
/
ATOMIC_SPECIES
Pm 145.00 Pm.upf
Nd 144.24 Nd.upf
In 114.82 In.upf
H 1.01 H.upf
ATOMIC_POSITIONS angstrom
Pm 0.0000 0.0000 0.0000
Nd 0.0000 2.4977 2.5101
Nd 2.4977 0.0000 2.5101
In 2.4977 2.4977 0.0000
H 0.0000 0.0000 2.5101
CELL_PARAMETERS angstrom
4.9954 0.0000 0.0000
0.0000 4.9954 0.0000
0.0000 0.0000 5.0202
! * energy: -4.436 eV/atom
! * total moment: 0.23 μB/atom
! * SG: P4/mmm, No. 123

12.
! Pm2NdInH | the Alexandria database | GGA-PBE | relaxed; values from VASP
&SYSTEM
  ibrav = 0, nat = 5, ntyp = 4
/
ATOMIC_SPECIES
Pm 145.00 Pm.upf
Nd 144.24 Nd.upf
In 114.82 In.upf
H 1.01 H.upf
ATOMIC_POSITIONS angstrom
Pm 0.0000 2.5000 0.0000
Pm 2.5000 0.0000 0.0000
Nd 0.0000 0.0000 2.4866
In 2.5000 2.5000 2.4866
H 0.0000 0.0000 0.0000
CELL_PARAMETERS angstrom
5.0001 0.0000 0.0000
0.0000 5.0001 0.0000
0.0000 0.0000 4.9732
! * energy: -4.434 eV/atom
! * total moment: 0.23 μB/atom
! * SG: P4/mmm, No. 123